Arrangement 1

First-principles (GGA-PBE) data for an optimized crystal structure of NaIn4Sn4, as listed in the Alexandria database.

Results
The spin magnetization comes out at 0.00 μB per atom.

```
NaIn4Sn4
1.0
-3.163 2.017 5.993
5.907 -1.451 3.605
3.443 10.091 -1.579
Na In Sn
2 8 8
Direct
0.000 0.000 0.000 Na
0.500 0.500 0.500 Na
0.500 0.792 0.940 In
0.500 0.208 0.940 In
0.792 0.500 0.060 In
0.208 0.500 0.060 In
0.292 0.000 0.440 In
0.708 0.000 0.440 In
0.000 0.292 0.560 In
0.000 0.708 0.560 In
0.277 0.500 0.771 Sn
0.723 0.500 0.771 Sn
0.500 0.723 0.229 Sn
0.500 0.277 0.229 Sn
0.000 0.777 0.271 Sn
0.000 0.223 0.271 Sn
0.223 0.000 0.729 Sn
0.777 0.000 0.729 Sn
```


Arrangement 2

First-principles (GGA-PBE) data for an optimized crystal structure of NaIn4Sn4, as listed in the Alexandria database.

Results
The spin magnetization comes out at 0.00 μB per atom.

```
NaIn4Sn4
1.0
-3.175 0.037 3.475
2.345 -4.811 5.383
2.007 5.380 4.964
Na In Sn
1 4 4
Direct
0.500 0.500 0.000 Na
0.168 0.163 0.000 In
0.832 0.837 0.000 In
0.832 0.500 0.337 In
0.168 0.500 0.663 In
0.500 0.165 0.335 Sn
0.500 0.835 0.665 Sn
0.165 0.835 0.335 Sn
0.835 0.165 0.665 Sn
```


The data favor arrangement 2; the next most stable structure lies 45 meV per atom above it.